Material: Na2CoSiO4
Method: DFT, PBE+U
State: optimized geometry

Electronic total energy (eV/atom): -5.295

CIF file:
```
data_Na2CoSiO4
_chemical_formula_sum 'Na8 Co4 Si4 O16'
_space_group_name_H-M_alt 'P 1'
_space_group_IT_number 1
_cell_length_a 6.676
_cell_length_b 7.145
_cell_length_c 11.951
_cell_angle_alpha 89.82
_cell_angle_beta 89.80
_cell_angle_gamma 89.96
loop_
_space_group_symop_operation_xyz
'x,y,z'
loop_
_atom_site_label
_atom_site_type_symbol
_atom_site_fract_x
_atom_site_fract_y
_atom_site_fract_z
Na1 Na 0.000 0.000 0.000
Na2 Na 0.011 0.366 0.637
Na3 Na 0.124 0.866 0.472
Na4 Na 0.136 0.500 0.107
Na5 Na 0.499 0.499 0.607
Na6 Na 0.512 0.866 0.972
Na7 Na 0.624 0.366 0.137
Na8 Na 0.635 0.999 0.500
Co1 Co 0.260 0.302 0.365
Co2 Co 0.376 0.302 0.865
Co3 Co 0.762 0.801 0.243
Co4 Co 0.875 0.801 0.743
Si1 Si 0.141 0.666 0.837
Si2 Si 0.496 0.665 0.338
Si3 Si 0.640 0.165 0.770
Si4 Si 0.996 0.165 0.270
O1 O 0.215 0.715 0.960
O2 O 0.247 0.490 0.773
O3 O 0.271 0.309 0.527
O4 O 0.312 0.124 0.981
O5 O 0.323 0.123 0.480
O6 O 0.365 0.310 0.027
O7 O 0.390 0.491 0.273
O8 O 0.420 0.715 0.460
O9 O 0.715 0.214 0.647
O10 O 0.747 0.990 0.835
O11 O 0.772 0.810 0.081
O12 O 0.811 0.622 0.629
O13 O 0.824 0.623 0.128
O14 O 0.863 0.808 0.581
O15 O 0.891 0.989 0.334
O16 O 0.922 0.215 0.147
```